Density functional theory data (PBE-GGA) for an optimized crystal structure of CaPm3Pd.

abc: 7.1057 10.1604 10.1604
angles: 62.44 79.63 79.63
With the nearest neighbours (Å) after each atom.
Fractional coordinates of all 20 atoms:
Ca 0.2500 0.9425 0.0575  2 Pd 3.23, 2 Pm 3.62
Ca 0.7500 0.0575 0.9425  2 Pd 3.23, 2 Pm 3.62
Ca 0.2500 0.3682 0.6318  2 Pd 3.39, 4 Pm 3.73-3.75
Ca 0.7500 0.6318 0.3682  2 Pd 3.39, 4 Pm 3.73-3.75
Pm 0.5891 0.6547 0.9943  1 Pd 2.98
Pm 0.9109 0.0057 0.3453  1 Pd 2.98
Pm 0.4109 0.3453 0.0057  1 Pd 2.98
Pm 0.0891 0.9943 0.6547  1 Pd 2.98
Pm 0.9228 0.3386 0.0000  1 Pd 2.97
Pm 0.5772 0.0000 0.6614  1 Pd 2.97
Pm 0.0772 0.6614 0.0000  1 Pd 2.97
Pm 0.4228 0.0000 0.3386  1 Pd 2.97
Pm 0.4077 0.6740 0.6771  2 Pd 2.96-2.97
Pm 0.0923 0.3229 0.3260  2 Pd 2.96-2.97
Pm 0.5923 0.3260 0.3229  2 Pd 2.96-2.97
Pm 0.9077 0.6771 0.6740  2 Pd 2.96-2.97
Pd 0.7091 0.4157 0.7433  1 Pd 2.70, 4 Pm 2.96-2.98
Pd 0.7909 0.2567 0.5843  1 Pd 2.70, 4 Pm 2.96-2.98
Pd 0.2909 0.5843 0.2567  1 Pd 2.70, 4 Pm 2.96-2.98
Pd 0.2091 0.7433 0.4157  1 Pd 2.70, 4 Pm 2.96-2.98

## Properties
**Energy relative to the elements**: -0.23 eV per atom
**Uncorrected energy**: -4.521 eV/atom
**M_tot**: 0.00 Bohr magnetons per cell